[1]
Computed, not measured: a relaxed Sc2HgPd2 crystal at the PBE level of DFT.

The total energy comes out at -25.925 eV/f.u. The value obtained for the density of states at the Fermi level is 0.6942 states/eV per atom. The value obtained for the energy relative to the elements is -2.6 eV per formula unit.

The structure belongs to space group I4/mmm (No. 139); the cell edges are 5.083, 5.083 and 8.137 Å and the angles 90.00°, 90.00° and 90.00°. The distinct sites, in fractional coordinates, are Sc at (0.000, 0.500, 0.250), Hg at (0.000, 0.000, 0.000) and Pd at (0.000, 0.000, 0.346).


[2]
Computed, not measured: a relaxed CaHoGa2Au5 crystal at the PBE level of DFT.

The total energy comes out at -33.744 eV/f.u. The value obtained for the density of states at the Fermi level is 0.3598 states/eV per atom. The value obtained for the energy relative to the elements is -4.7 eV per formula unit.

The structure belongs to space group P4/mmm (No. 123); the cell edges are 4.494, 4.494 and 9.025 Å and the angles 90.00°, 90.00° and 90.00°. The distinct sites, in fractional coordinates, are Ca at (0.000, 0.000, 0.000), Ho at (0.000, 0.000, 0.500), Ga at (0.500, 0.500, 0.367), Au at (0.000, 0.500, 0.230) and Au at (0.500, 0.500, 0.000).


[3]
Computed, not measured: a relaxed Ba2NiSnN crystal at the PBE level of DFT.

The total energy comes out at -24.087 eV/f.u. The value obtained for the density of states at the Fermi level is 0.4103 states/eV per atom. As for the formation energy from raw total energies: -206 kJ/mol of formula units.

The structure belongs to space group P4/mmm (No. 123); the cell edges are 6.139, 6.139 and 3.551 Å and the angles 90.00°, 90.00° and 90.00°. The distinct sites, in fractional coordinates, are Ba at (0.000, 0.500, 0.000), Ni at (0.000, 0.000, 0.500), Sn at (0.500, 0.500, 0.500) and N at (0.000, 0.000, 0.000).